Record 1
Here is a relaxed KMgCu4 crystal from Alexandria. Energies are from PBE.

## Properties
The formation energy comes out at 209 meV per atom. The value obtained for the density is 5.20 g/cm³. For the total moment, the calculation gives 0.0 μB/f.u. The value obtained for the volume is 406 Å³/cell.

a = 7.403 Å, b = 7.403 Å, c = 7.403 Å
α = 90.00°, β = 90.00°, γ = 90.00°
Space group F-43m (No. 216)
One atom of each set of equivalent atoms:
K 0.000 0.000 0.000 x4
Mg 0.250 0.250 0.750 x4
Cu 0.124 0.124 0.376 x16



Record 2
Here is a relaxed Ti4Ga5H2 crystal from Alexandria. Energies are from PBE.

## Properties
The value obtained for the density is 5.71 g/cm³. Its total energy is -5.065 eV per atom. For the total moment, the calculation gives 0.0 μB/f.u. The value obtained for the volume is 316 Å³/cell.

a = 2.843 Å, b = 7.349 Å, c = 15.102 Å
α = 90.00°, β = 90.00°, γ = 90.00°
Space group Immm (No. 71)
One atom of each set of equivalent atoms:
Ti 0.000 0.000 0.173 x4
Ti 0.000 0.322 0.500 x4
Ga 0.000 0.178 0.333 x8
Ga 0.000 0.500 0.000 x2
H 0.000 0.000 0.052 x4



Record 3
Here is a relaxed Tl5In4 crystal from Alexandria. Energies are from PBE.

## Properties
The formation energy comes out at 21 meV per atom. The value obtained for the density is 9.31 g/cm³. For the total moment, the calculation gives 0.0 μB/f.u. The value obtained for the volume is 528 Å³/cell.

a = 11.300 Å, b = 11.300 Å, c = 4.138 Å
α = 90.00°, β = 90.00°, γ = 90.00°
Space group I4/mmm (No. 139)
One atom of each set of equivalent atoms:
Tl 0.000 0.000 0.000 x2
Tl 0.168 0.168 0.500 x8
In 0.000 0.340 0.000 x8